First-principles (PBE) data for a relaxed LiZn3P crystal, as listed in the Alexandria database.

Lattice parameters (Å, degrees): 4.4371 4.4371 4.4371 90.00 90.00 90.00
Atoms (fractional coordinates):
Zn  0.0000  0.5000  0.0000
Zn  0.5000  0.0000  0.0000
Zn  0.0000  0.0000  0.5000
P  0.5000  0.5000  0.5000
Li  0.0000  0.0000  0.0000

Density of states at the Fermi level   2.62 states/eV per cell
E above lowest polymorph   353 meV per atom
E_form   0.664 eV per atom
Volume   87 Å³/cell